{"formula": "ZnFeCu", "functional": "PBE-GGA", "state": "relaxed", "relative_energy_mev_per_atom": 293, "delta_e_f_kj_per_mol_fu": 87, "density_g_cm3": 7.40, "total_energy_ev_per_atom": -4.310, "lattice_angstrom": [[4.007, 0.000, 0.012], [2.005, 3.473, -0.008], [2.007, -1.149, 5.971]], "species": ["Zn", "Zn", "Cu", "Cu", "Fe", "Fe"], "fractional_positions": [[0.306, 0.118, 0.082], [0.025, 0.258, 0.500], [0.446, 0.548, 0.370], [0.885, 0.828, 0.212], [0.757, 0.393, 0.906], [0.575, 0.983, 0.676]]}